A plane-wave DFT calculation with PBE was carried out for CeDy2YSe4 after structural relaxation.

## Properties
**DOS at the Fermi energy**: 8.8 states/eV/f.u.
**DFT total energy**: -6.2181 eV/atom
**Uncorrected formation energy**: -1776 meV/atom

a = 7.1361 Å, b = 4.0788 Å, c = 7.1366 Å
α = 90.00°, β = 109.06°, γ = 90.00°
With the nearest neighbours (Å) after each atom.
Element x y z (fractional)
Ce: 0.0000 0.0000 0.0000  6 Se 2.95
Dy: 0.5000 0.0000 0.5000  6 Se 2.86
Dy: 0.5000 0.5000 0.0000  6 Se 2.90
Y: 0.0000 0.5000 0.5000  6 Se 2.91
Se: 0.2543 0.0000 0.7472  3 Dy 2.86-2.90, 2 Y 2.91, 1 Ce 2.95
Se: 0.2579 0.5000 0.2572  3 Dy 2.86-2.90, 1 Y 2.91, 2 Ce 2.95
Se: 0.7421 0.5000 0.7428  3 Dy 2.86-2.90, 1 Y 2.91, 2 Ce 2.95
Se: 0.7457 0.0000 0.2528  3 Dy 2.86-2.90, 2 Y 2.91, 1 Ce 2.95